Compound: SmNbN2O
Source: the Open Quantum Materials Database
Functional: GGA-PBE
Structure: relaxed

Uncorrected energy (eV/f.u.): -43.942
SG: P4/mmm, No. 123

Cell lengths 4.085, 4.085, 3.956 Å; angles 90.00, 90.00, 90.00 degrees
Atoms (fractional coordinates):
Sm  0.000  0.000  0.000
O  0.500  0.500  0.000
N  0.500  0.000  0.500
N  0.000  0.500  0.500
Nb  0.500  0.500  0.500

***

Compound: SmNbN2O
Source: the Open Quantum Materials Database
Functional: GGA-PBE
Structure: relaxed

Uncorrected energy (eV/f.u.): -42.964
SG: P6_3cm, No. 185

Cell lengths 6.319, 6.319, 12.435 Å; angles 90.00, 90.00, 120.00 degrees
Atoms (fractional coordinates):
Sm  0.667  0.333  0.234
O  0.667  0.333  0.018
O  0.000  0.000  0.979
Nb  0.666  0.666  0.001
Nb  0.334  0.000  0.001
O  0.667  0.333  0.518
O  0.333  0.667  0.518
N  0.638  0.000  0.346
N  0.000  0.638  0.346
O  0.000  0.000  0.479
N  0.638  0.638  0.846
N  0.000  0.694  0.658
Nb  0.000  0.334  0.001
O  0.333  0.667  0.018
N  0.694  0.000  0.658
Sm  0.333  0.667  0.234
Nb  0.334  0.334  0.501
Sm  0.667  0.333  0.734
Sm  0.000  0.000  0.775
N  0.306  0.306  0.658
N  0.362  0.362  0.346
Sm  0.000  0.000  0.275
Nb  0.000  0.666  0.501
N  0.362  0.000  0.846
Nb  0.666  0.000  0.501
N  0.306  0.000  0.158
N  0.694  0.694  0.158
N  0.000  0.362  0.846
N  0.000  0.306  0.158
Sm  0.333  0.667  0.734

***

Compound: SmNbN2O
Source: the Open Quantum Materials Database
Functional: GGA-PBE
Structure: relaxed

Uncorrected energy (eV/f.u.): -44.469
SG: Pmma, No. 51

Cell lengths 5.722, 3.909, 5.926 Å; angles 90.00, 90.00, 90.00 degrees
Atoms (fractional coordinates):
O  0.500  0.000  0.500
N  0.250  0.500  0.306
Nb  0.750  0.000  0.777
Sm  0.250  0.500  0.697
Sm  0.750  0.500  0.303
N  0.750  0.500  0.694
N  0.500  0.000  0.000
Nb  0.250  0.000  0.223
O  0.000  0.000  0.500
N  0.000  0.000  0.000

***

Compound: SmNbN2O
Source: the Open Quantum Materials Database
Functional: GGA-PBE
Structure: relaxed

Uncorrected energy (eV/f.u.): -44.939
SG: Pnma, No. 62

Cell lengths 5.694, 7.909, 5.697 Å; angles 90.00, 90.00, 90.00 degrees
Atoms (fractional coordinates):
Nb  0.500  0.500  0.000
N  0.748  0.060  0.748
Sm  0.003  0.750  0.023
O  0.502  0.250  0.110
Sm  0.503  0.750  0.477
O  0.498  0.750  0.890
N  0.752  0.560  0.248
Nb  0.000  0.000  0.500
N  0.748  0.440  0.748
Sm  0.997  0.250  0.977
O  0.998  0.750  0.610
N  0.248  0.060  0.752
N  0.248  0.440  0.752
N  0.252  0.560  0.252
N  0.752  0.940  0.248
Nb  0.000  0.500  0.500
N  0.252  0.940  0.252
Sm  0.497  0.250  0.523
Nb  0.500  0.000  0.000
O  0.002  0.250  0.390

***

Compound: SmNbN2O
Source: the Open Quantum Materials Database
Functional: GGA-PBE
Structure: relaxed

Uncorrected energy (eV/f.u.): -45.247
SG: P1, No. 1

Cell lengths 7.980, 7.989, 8.112 Å; angles 88.40, 89.94, 89.87 degrees
Atoms (fractional coordinates):
N  0.947  0.289  0.032
N  0.252  0.316  0.243
Sm  0.749  0.518  0.056
Sm  0.749  0.023  0.550
N  0.048  0.198  0.529
O  0.433  0.501  0.737
N  0.544  0.787  0.534
N  0.551  0.000  0.825
O  0.938  0.002  0.825
O  0.756  0.175  0.309
Sm  0.751  0.040  0.043
Sm  0.249  0.480  0.987
N  0.554  0.297  0.028
Nb  0.010  0.251  0.758
Nb  0.505  0.761  0.259
N  0.450  0.000  0.234
Nb  0.996  0.744  0.264
N  0.055  0.712  0.032
Sm  0.250  0.975  0.495
N  0.752  0.788  0.223
O  0.563  0.496  0.324
N  0.051  0.500  0.733
N  0.247  0.211  0.835
O  0.068  0.997  0.238
Sm  0.254  0.469  0.508
Nb  0.485  0.235  0.768
O  0.749  0.288  0.709
N  0.749  0.685  0.812
Nb  0.002  0.265  0.264
Sm  0.247  0.963  0.007
Sm  0.748  0.532  0.541
Nb  0.515  0.758  0.773
O  0.252  0.714  0.352
N  0.456  0.211  0.529
N  0.955  0.800  0.532
N  0.443  0.701  0.033
Nb  0.487  0.251  0.259
N  0.950  0.499  0.325
O  0.246  0.824  0.748
Nb  0.993  0.743  0.764

***

Compound: SmNbN2O
Source: the Open Quantum Materials Database
Functional: GGA-PBE
Structure: relaxed

Uncorrected energy (eV/f.u.): -45.124
SG: P2_1/c, No. 14

Cell lengths 7.952, 8.086, 11.171 Å; angles 90.00, 134.51, 90.00 degrees
Atoms (fractional coordinates):
O  0.918  0.255  0.666
Nb  0.264  0.745  0.755
O  0.082  0.755  0.834
N  0.566  0.256  0.815
O  0.082  0.745  0.334
Sm  0.760  0.505  0.503
O  0.080  0.264  0.998
Sm  0.760  0.995  0.003
N  0.192  0.503  0.712
Nb  0.735  0.752  0.239
N  0.434  0.756  0.685
Nb  0.735  0.748  0.739
N  0.808  0.497  0.288
Sm  0.774  0.494  0.014
N  0.192  0.997  0.212
Nb  0.736  0.255  0.245
O  0.080  0.236  0.498
N  0.225  0.003  0.749
O  0.920  0.736  0.002
Nb  0.736  0.245  0.745
Sm  0.240  0.495  0.497
Sm  0.240  0.005  0.997
Sm  0.774  0.006  0.514
N  0.225  0.497  0.249
N  0.775  0.503  0.751
Nb  0.265  0.252  0.261
N  0.566  0.770  0.501
N  0.775  0.997  0.251
O  0.920  0.764  0.502
Nb  0.264  0.755  0.255
N  0.566  0.730  0.001
N  0.434  0.230  0.499
Nb  0.265  0.248  0.761
N  0.566  0.244  0.315
O  0.918  0.245  0.166
N  0.434  0.744  0.185
N  0.808  0.003  0.788
Sm  0.226  0.994  0.486
Sm  0.226  0.506  0.986
N  0.434  0.270  0.999

***

| no. | M_tot (μB/f.u.) |
| --- | --- |
| 1 | 0.00 |
| 2 | 0.00 |
| 3 | 0.00 |
| 4 | 0.00 |
| 5 | 0.00 |
| 6 | 0.00 |